Entry 1:
The following is a PBE calculation of crystalline UAl3Pd2 at its relaxed geometry, from the Alexandria database.

Output
- total DFT energy (no corrections) (eV for the cell shown) = -36.32
- energy of formation from the pure elements (eV/atom) = -0.57
- space-group type = P6/mmm

POSCAR file:
```
UAl3Pd2
1.0
5.374 0.000 0.000
-2.687 4.654 0.000
0.000 0.000 4.238
U Al Pd
1 3 2
Cartesian
0.000 0.000 0.000
2.687 0.000 2.119
1.343 2.327 2.119
-1.343 2.327 2.119
0.000 3.103 0.000
2.687 1.551 0.000
```



Entry 2:
The following is a PBE calculation of crystalline AlTc2BF at its relaxed geometry, from the Alexandria database.

Output
- total DFT energy (no corrections) (eV for the cell shown) = -27.56
- space-group type = P4/mmm
- ΔE_f (raw) (kJ per mole of atoms) = 105.5

POSCAR file:
```
AlTc2BF
1.0
4.729 0.000 0.000
0.000 3.417 0.000
0.000 0.000 4.729
B F Tc Al
1 1 2 1
Cartesian
2.364 1.709 2.364
0.000 1.709 0.000
0.000 0.000 2.364
2.364 0.000 0.000
0.000 0.000 0.000
```